{"formula": "RbZrP2Cl", "functional": "GGA-PBE", "state": "optimized geometry", "lattice_angstrom": [[5.2033, 0.0000, 0.0000], [0.0000, 5.2033, 0.0000], [0.0000, 0.0000, 5.2537]], "species": ["Rb", "Zr", "P", "P", "Cl"], "frac_coords": [[0.0000, 0.0000, 0.0000], [0.5000, 0.5000, 0.5000], [0.0000, 0.5000, 0.0000], [0.5000, 0.0000, 0.0000], [0.0000, 0.0000, 0.5000]], "raw_formation_energy_mev_per_atom": 1328, "relative_energy_ev_per_atom": 2.0138, "total_energy_ev_per_atom": -3.11}